[1]
DFT (GGA-PBE) results for an optimized crystal structure of PuTiOs.

## Properties
* DOS at the Fermi energy: 6.62 states/eV/f.u.
* M_tot: 5.2 μB/f.u.
* E_tot: -11.31 eV/atom
* calculated formation energy: -0.155 eV/atom

```
PuTiOs
1.0
-1.5655 1.5655 11.5832
1.5655 -1.5655 11.5832
1.5655 1.5655 -11.5832
Pu Ti Os
2 2 2
Direct
0.0662 0.0662 0.0000
0.9338 0.9338 0.0000
0.2110 0.2110 0.0000
0.7890 0.7890 0.0000
0.3501 0.3501 0.0000
0.6499 0.6499 0.0000
```

***

[2]
DFT (GGA-PBE) results for an optimized crystal structure of Mg2ZrFe2.

## Properties
* DOS at the Fermi energy: 2.56 states/eV/f.u.
* M_tot: 3.6 μB/f.u.
* E_tot: -5.49 eV/atom
* calculated formation energy: 0.244 eV/atom

```
Mg2ZrFe2
1.0
-1.9366 1.9366 5.8847
1.9366 -1.9366 5.8847
1.9366 1.9366 -5.8847
Mg Zr Fe
2 1 2
Direct
0.2500 0.7500 0.5000
0.7500 0.2500 0.5000
0.0000 0.0000 0.0000
0.4116 0.4116 0.0000
0.5884 0.5884 0.0000
```

***

[3]
DFT (GGA-PBE) results for an optimized crystal structure of Pr2ReB10.

## Properties
* DOS at the Fermi energy: 3.06 states/eV/f.u.
* M_tot: 0.0 μB/f.u.
* E_tot: -7.23 eV/atom
* calculated formation energy: -0.403 eV/atom

```
Pr2ReB10
1.0
5.8170 0.0000 0.0000
0.0000 11.5911 0.0000
0.0000 0.0000 4.2408
Pr Re B
4 2 20
Direct
0.2179 0.1342 0.0000
0.2821 0.6342 0.0000
0.7179 0.3658 0.0000
0.7821 0.8658 0.0000
0.0000 0.5000 0.5000
0.5000 0.0000 0.5000
0.0609 0.3076 0.5000
0.1203 0.9582 0.5000
0.1316 0.8027 0.5000
0.2241 0.3817 0.2015
0.2241 0.3817 0.7985
0.2759 0.8817 0.2015
0.2759 0.8817 0.7985
0.3684 0.3027 0.5000
0.3797 0.4582 0.5000
0.4391 0.8076 0.5000
0.5609 0.1924 0.5000
0.6203 0.5418 0.5000
0.6316 0.6973 0.5000
0.7241 0.1183 0.2015
0.7241 0.1183 0.7985
0.7759 0.6183 0.2015
0.7759 0.6183 0.7985
0.8684 0.1973 0.5000
0.8797 0.0418 0.5000
0.9391 0.6924 0.5000
```